## As2Pt2I (meta-GGA SCAN)

Data for As2Pt2I at its PBEsol-relaxed geometry.

abc: 4.260 4.260 11.030
angles: 90.00 90.00 90.00
Sites, in units of the cell vectors:
As 0.000 0.500 0.250
As 0.000 0.500 0.750
As 0.500 0.000 0.250
As 0.500 0.000 0.750
Pt 0.000 0.000 0.125
Pt 0.000 0.000 0.875
Pt 0.500 0.500 0.375
Pt 0.500 0.500 0.625
I 0.000 0.000 0.500
I 0.500 0.500 0.000

Calculated values
Formation energy (no corrections) ... 21 meV per atom
Magnetic moment ... 0.00 μB per cell
DOS(E_F) ... 2.72 states/eV/f.u.
Energy relative to the lowest polymorph listed for this composition ... 300 meV per atom
SG ... I4/mmm, No. 139